First-principles (PBE-GGA) data for a relaxed structure of Ni2MoAs, as listed in Alexandria.

Density of states at the Fermi level: 3.57 states/eV per cell
Calculated volume: 53.7 Å³/cell
Energy relative to the elements: -0.009 eV per atom

Unit cell a=2.868 b=3.659 c=5.117 alpha=90.00 beta=90.00 gamma=90.00
Atoms (fractional coordinates):
Ni (0.000, 0.500, 0.743)
Ni (0.000, 0.500, 0.257)
As (0.500, 0.000, 0.000)
Mo (0.500, 0.000, 0.500)

---

First-principles (PBE-GGA) data for a relaxed structure of NiMo2As, as listed in Alexandria.

Density of states at the Fermi level: 5.73 states/eV per cell
Calculated volume: 59.6 Å³/cell
Energy relative to the elements: 0.235 eV per atom

Unit cell a=8.738 b=8.738 c=8.738 alpha=18.64 beta=18.64 gamma=18.64
Atoms (fractional coordinates):
Ni (0.497, 0.497, 0.497)
As (0.754, 0.754, 0.754)
Mo (0.004, 0.004, 0.004)
Mo (0.245, 0.245, 0.245)

---

Q: Which of these has the highest calculated volume?
A: NiMo2As

---

Q: Which formula does entry 1 have?
A: Ni2MoAs

---

Q: Among the records above, which one has the highest calculated volume?
A: NiMo2As

---

Copy entry 1 word for word.
First-principles (PBE-GGA) data for a relaxed structure of Ni2MoAs, as listed in Alexandria.

Density of states at the Fermi level: 3.57 states/eV per cell
Calculated volume: 53.7 Å³/cell
Energy relative to the elements: -0.009 eV per atom

Unit cell a=2.868 b=3.659 c=5.117 alpha=90.00 beta=90.00 gamma=90.00
Atoms (fractional coordinates):
Ni (0.000, 0.500, 0.743)
Ni (0.000, 0.500, 0.257)
As (0.500, 0.000, 0.000)
Mo (0.500, 0.000, 0.500)